VASP calculation (PBE-GGA) on a relaxed YBeAg crystal.

```
YBeAg
1.0
2.1472 -4.1375 -0.1616
-2.2704 -3.8584 1.3088
-1.2617 -3.1592 -3.1911
Y Be Ag
1 1 1
Direct
0.0000 0.0000 0.0000
0.7500 0.7500 0.7500
0.2500 0.2500 0.2500
```

For the energy above the lowest structure with this stoichiometry, the calculation gives 0.3505 eV per atom. For the uncorrected energy, the calculation gives -3.695 eV/atom. Its space group is No. 216.

=====

VASP calculation (PBE-GGA) on a relaxed DyEr2Tm2Lu2Te2Pd2 crystal.

```
DyEr2Tm2Lu2Te2Pd2
1.0
-1.9532 7.7633 4.7553
1.9532 -7.7633 4.7553
1.9532 7.7633 -4.7553
Dy Tm Lu Pd Te Er
1 2 2 2 2 2
Direct
0.9991 0.9991 0.0000
0.7136 0.5831 0.1305
0.4526 0.5831 0.8695
0.0561 0.3733 0.6828
0.6905 0.3733 0.3172
0.3038 0.0671 0.2367
0.8304 0.0671 0.7633
0.3385 0.3385 0.0000
0.7336 0.2336 0.5000
0.0907 0.7350 0.3557
0.3793 0.7350 0.6443
```

For the uncorrected energy, the calculation gives -5.256 eV/atom. Its space group is No. 44.

=====

VASP calculation (PBE-GGA) on a relaxed KUHg crystal.

```
KUHg
1.0
2.6268 -4.5620 -1.2482
-1.6705 -3.0324 -4.1575
2.9644 -0.2650 -4.5181
U Hg K
1 1 1
Direct
0.0000 0.0000 0.0000
0.2500 0.2500 0.2500
0.7500 0.7500 0.7500
```

For the energy above the lowest structure with this stoichiometry, the calculation gives 0.0000 eV per atom. For the uncorrected energy, the calculation gives -2.904 eV/atom. Its space group is No. 216.

=====

VASP calculation (PBE-GGA) on a relaxed FeCuSiMo crystal.

```
FeCuSiMo
1.0
0.1203 -3.0369 -2.8316
0.3368 -3.9586 1.2130
-3.2279 -2.5814 -0.4155
Cu Si Mo Fe
1 1 1 1
Direct
0.7500 0.7500 0.7500
0.0000 0.0000 0.0000
0.2500 0.2500 0.2500
0.5000 0.5000 0.5000
```

For the energy above the lowest structure with this stoichiometry, the calculation gives 0.0000 eV per atom. For the uncorrected energy, the calculation gives -7.052 eV/atom. Its space group is No. 216.

=====

VASP calculation (PBE-GGA) on a relaxed LiZnPd2 crystal.

```
LiZnPd2
1.0
2.1675 -3.7542 0.0000
2.1675 3.7542 0.0000
0.0000 0.0000 7.9290
Pd Li Zn
4 2 2
Direct
0.3333 0.6667 0.9215
0.6667 0.3333 0.0785
0.3333 0.6667 0.5785
0.6667 0.3333 0.4215
0.3333 0.6667 0.2500
0.6667 0.3333 0.7500
0.0000 0.0000 0.0000
0.0000 0.0000 0.5000
```

For the uncorrected energy, the calculation gives -3.762 eV/atom. Its space group is No. 194.

=====

VASP calculation (PBE-GGA) on a relaxed Lu3Sb4Au3 crystal.

```
Lu3Sb4Au3
1.0
-4.7776 -6.0040 3.6373
-3.1026 1.8109 -7.6940
7.9797 -2.8034 -0.7539
Au Sb Lu
6 8 6
Direct
0.3750 0.7500 0.6250
0.6250 0.8750 0.2500
0.7500 0.3750 0.1250
0.2500 0.1250 0.3750
0.8750 0.6250 0.7500
0.1250 0.2500 0.8750
0.0000 0.1829 0.5000
0.3172 0.8172 0.3172
0.5000 0.5000 0.6828
0.5000 0.5000 0.1829
0.1829 0.0000 0.0000
0.0000 0.6828 0.5000
0.6828 0.0000 0.0000
0.8172 0.3172 0.8172
0.2500 0.6250 0.8750
0.6250 0.2500 0.3750
0.3750 0.1250 0.7500
0.8750 0.7500 0.1250
0.1250 0.3750 0.2500
0.7500 0.8750 0.6250
```

For the uncorrected energy, the calculation gives -4.715 eV/atom. Its space group is No. 220.

=====

VASP calculation (PBE-GGA) on a relaxed PrGdAu6 crystal.

```
PrGdAu6
1.0
-3.1320 2.9956 -2.6801
-4.5638 -0.9718 4.2471
1.6338 4.1228 2.6990
Au Pr Gd
6 1 1
Direct
0.5000 0.2522 0.6589
0.5000 0.5000 0.1764
0.0000 0.7642 0.3384
0.0000 0.2358 0.3384
0.5000 0.7478 0.6589
0.0000 0.0000 0.8319
0.0000 0.5000 0.8419
0.5000 0.0000 0.1553
```

For the uncorrected energy, the calculation gives -4.315 eV/atom. Its space group is No. 25. The energy relative to the elements comes out at -0.69 eV/atom.

=====

VASP calculation (PBE-GGA) on a relaxed CdB2Pd crystal.

```
CdB2Pd
1.0
-0.1735 -3.6789 -2.0672
-3.0257 -2.7991 0.9209
-3.1144 -0.7274 -2.7585
B Pd Cd
2 1 1
Direct
0.2500 0.2500 0.2500
0.0000 0.0000 0.0000
0.7500 0.7500 0.7500
0.5000 0.5000 0.5000
```

For the uncorrected energy, the calculation gives -3.480 eV/atom. Its space group is No. 216.

=====

VASP calculation (PBE-GGA) on a relaxed ErTmTlB crystal.

```
ErTmTlB
1.0
3.5985 0.0000 0.0000
-1.7992 3.1164 0.0000
0.0000 0.0000 16.7056
Tl Er B Tm
2 2 2 2
Direct
0.6667 0.3333 0.5000
0.3333 0.6667 0.0000
0.3333 0.6667 0.3405
0.3333 0.6667 0.6595
0.0000 0.0000 0.7507
0.0000 0.0000 0.2493
0.6667 0.3333 0.8415
0.6667 0.3333 0.1585
```

For the uncorrected energy, the calculation gives -4.639 eV/atom. Its space group is No. 187.

=====

VASP calculation (PBE-GGA) on a relaxed NaSmCo crystal.

```
NaSmCo
1.0
0.0000 3.2851 3.2851
3.2851 0.0000 3.2851
3.2851 3.2851 0.0000
Sm Na Co
1 1 1
Direct
0.7500 0.7500 0.7500
0.2500 0.2500 0.2500
0.0000 0.0000 0.0000
```

For the energy above the lowest structure with this stoichiometry, the calculation gives 0.0000 eV per atom. For the uncorrected energy, the calculation gives -3.832 eV/atom. Its space group is No. 216.

=====

VASP calculation (PBE-GGA) on a relaxed ErOsNO crystal.

```
ErOsNO
1.0
-2.7687 5.3542 -2.1491
-4.1538 0.1373 5.6934
3.2602 2.6153 2.3155
N Os O Er
4 4 4 4
Direct
0.9243 0.3502 0.0218
0.0757 0.6498 0.5218
0.4243 0.6498 0.0218
0.5757 0.3502 0.5218
0.8435 0.8267 0.5169
0.1565 0.1733 0.0169
0.6565 0.8267 0.0169
0.3435 0.1733 0.5169
0.4593 0.0512 0.1439
0.0407 0.0512 0.6439
0.5407 0.9488 0.6439
0.9593 0.9488 0.1439
0.0692 0.6546 0.0199
0.5692 0.3454 0.0199
0.4308 0.6546 0.5199
0.9308 0.3454 0.5199
```

For the energy above the lowest structure with this stoichiometry, the calculation gives 0.5781 eV per atom. For the uncorrected energy, the calculation gives -8.149 eV/atom. Its space group is No. 29.

=====

VASP calculation (PBE-GGA) on a relaxed BeNi2As crystal.

```
BeNi2As
1.0
0.0000 2.8295 2.8295
2.8295 0.0000 2.8295
2.8295 2.8295 0.0000
As Be Ni
1 1 2
Direct
0.2500 0.2500 0.2500
0.0000 0.0000 0.0000
0.7500 0.7500 0.7500
0.5000 0.5000 0.5000
```

For the uncorrected energy, the calculation gives -4.867 eV/atom. Its space group is No. 216.

=====

VASP calculation (PBE-GGA) on a relaxed NaSb5Au3 crystal.

```
NaSb5Au3
1.0
5.6549 0.0000 0.0000
-2.8275 4.8973 0.0000
0.0000 0.0000 8.8380
Sb Au Na
5 3 1
Direct
0.6667 0.3333 0.8259
0.0000 0.0000 0.5000
0.6667 0.3333 0.1741
0.3333 0.6667 0.8259
0.3333 0.6667 0.1741
0.0000 0.5000 0.5000
0.5000 0.0000 0.5000
0.5000 0.5000 0.5000
0.0000 0.0000 0.0000
```

For the uncorrected energy, the calculation gives -3.423 eV/atom. Its space group is No. 191.

=====

VASP calculation (PBE-GGA) on a relaxed Pr2TmP3 crystal.

```
Pr2TmP3
1.0
4.1194 0.0000 0.0000
-2.0597 3.5675 0.0000
0.0000 0.0000 10.0805
Tm Pr P
1 2 3
Direct
0.0000 0.0000 0.5000
0.6667 0.3333 0.1732
0.3333 0.6667 0.8268
0.0000 0.0000 0.0000
0.6667 0.3333 0.6533
0.3333 0.6667 0.3467
```

For the uncorrected energy, the calculation gives -6.573 eV/atom. Its space group is No. 164.

=====

VASP calculation (PBE-GGA) on a relaxed Li2ZnPd crystal.

```
Li2ZnPd
1.0
4.2792 0.0000 0.0000
0.0000 4.2792 0.0000
0.0000 0.0000 6.0951
Pd Li Zn
2 4 2
Direct
0.0000 0.5000 0.2499
0.5000 0.0000 0.7502
0.0000 0.5000 0.7452
0.5000 0.5000 0.0000
0.0000 0.0000 0.5000
0.5000 0.0000 0.2548
0.5000 0.5000 0.5000
0.0000 0.0000 0.0000
```

For the uncorrected energy, the calculation gives -3.004 eV/atom. Its space group is No. 115.

=====

VASP calculation (PBE-GGA) on a relaxed CsTmBeS3 crystal.

```
CsTmBeS3
1.0
1.9283 -7.7656 0.0000
1.9283 7.7656 0.0000
0.0000 0.0000 10.3155
Tm S Be Cs
2 6 2 2
Direct
0.0000 0.0000 0.0000
0.0000 0.0000 0.5000
0.3907 0.6093 0.9233
0.9552 0.0448 0.2500
0.6093 0.3907 0.0767
0.0448 0.9552 0.7500
0.3907 0.6093 0.5767
0.6093 0.3907 0.4233
0.5397 0.4603 0.2500
0.4603 0.5397 0.7500
0.7388 0.2612 0.7500
0.2612 0.7388 0.2500
```

For the uncorrected energy, the calculation gives -5.157 eV/atom. Its space group is No. 63.

=====

VASP calculation (PBE-GGA) on a relaxed Na2Hf crystal.

```
Na2Hf
1.0
-8.7535 1.3442 4.2929
-8.0675 1.1301 -5.5226
-6.7829 -7.1240 -0.3187
Hf Na
2 4
Direct
0.2500 0.2500 0.2500
0.0000 0.0000 0.0000
0.1250 0.1250 0.6250
0.1250 0.6250 0.1250
0.1250 0.1250 0.1250
0.6250 0.1250 0.1250
```

For the energy above the lowest structure with this stoichiometry, the calculation gives 1.4479 eV per atom. For the uncorrected energy, the calculation gives -1.906 eV/atom. Its space group is No. 227.

=====

VASP calculation (PBE-GGA) on a relaxed LaNd2Ni3Pt6 crystal.

```
LaNd2Ni3Pt6
1.0
-8.1455 -3.7924 0.2102
-6.4064 -3.3224 5.3568
-8.4884 1.0065 2.7765
Pt Ni Nd La
6 3 2 1
Direct
0.5829 0.5829 0.0823
0.4171 0.9177 0.4171
0.4171 0.4171 0.9177
0.9177 0.4171 0.4171
0.0823 0.5829 0.5829
0.5829 0.0823 0.5829
0.6672 0.6672 0.6672
0.3328 0.3328 0.3328
0.5000 0.5000 0.5000
0.8594 0.8594 0.8594
0.1406 0.1406 0.1406
0.0000 0.0000 0.0000
```

For the uncorrected energy, the calculation gives -6.433 eV/atom. Its space group is No. 166. The energy relative to the elements comes out at -0.81 eV/atom.

=====

VASP calculation (PBE-GGA) on a relaxed Ba2NbHg crystal.

```
Ba2NbHg
1.0
-2.4534 -2.9070 4.1822
-5.6333 -0.0645 0.4715
-2.8792 -4.7266 -1.1534
Ba Nb Hg
2 1 1
Direct
0.0000 0.0000 0.0000
0.2500 0.2500 0.2500
0.7500 0.7500 0.7500
0.5000 0.5000 0.5000
```

For the uncorrected energy, the calculation gives -2.965 eV/atom. Its space group is No. 216.

=====

VASP calculation (PBE-GGA) on a relaxed AlHgBr4 crystal.

```
AlHgBr4
1.0
-4.2448 -4.8605 2.3237
-1.4394 -5.4486 -3.9824
7.1524 -6.6156 2.4039
Br Hg Al
8 2 2
Direct
0.8406 0.5726 0.8208
0.1893 0.8571 0.8282
0.8327 0.3308 0.4981
0.4732 0.2292 0.8236
0.1594 0.4274 0.1792
0.1673 0.6692 0.5019
0.8107 0.1429 0.1718
0.5268 0.7708 0.1764
0.5133 0.0411 0.3643
0.4867 0.9589 0.6357
0.1663 0.5847 0.7351
0.8337 0.4153 0.2649
```

For the uncorrected energy, the calculation gives -2.669 eV/atom. Its space group is No. 2.